i:
LiBRu3: optimized geometry, PBE.

Properties
* space-group type: Pm-3m
* crystal system: cubic
* size of the total moment: 0.394 μB/atom

```
LiBRu3
1.0
4.000 0.000 0.000
0.000 4.000 0.000
0.000 0.000 4.000
Li B Ru
1 1 3
direct
0.000 0.000 0.000
0.500 0.500 0.500
0.000 0.000 0.500
0.000 0.500 0.000
0.500 0.000 0.000
```

---

ii:
LiBRu3: optimized geometry, PBE.

Properties
* space-group type: Pm-3m
* crystal system: cubic
* size of the total moment: 0.291 μB/atom

```
LiBRu3
1.0
4.074 0.000 0.000
0.000 4.074 0.000
0.000 0.000 4.074
Li B Ru
1 1 3
direct
0.000 0.000 0.000
0.500 0.500 0.500
0.000 0.500 0.500
0.500 0.000 0.500
0.500 0.500 0.000
```

---

Which of them is most stable, and which least? Most stable: ii; least stable: i.

---

i:
LiB3S: optimized geometry, PBE.

Properties
* space-group type: Pm-3m
* crystal system: cubic
* size of the total moment: 0.000 μB/atom

```
LiB3S
1.0
3.842 0.000 0.000
0.000 3.842 0.000
0.000 0.000 3.842
Li B S
1 3 1
direct
0.000 0.000 0.000
0.000 0.500 0.500
0.500 0.000 0.500
0.500 0.500 0.000
0.500 0.500 0.500
```

---

ii:
LiB3S: optimized geometry, PBE.

Properties
* space-group type: Pm-3m
* crystal system: cubic
* size of the total moment: 0.000 μB/atom

```
LiB3S
1.0
3.879 0.000 0.000
0.000 3.879 0.000
0.000 0.000 3.879
Li B S
1 3 1
direct
0.000 0.000 0.000
0.000 0.000 0.500
0.000 0.500 0.000
0.500 0.000 0.000
0.500 0.500 0.500
```

---

Which of them is most stable, and which least? Most stable: i; least stable: ii.

---

i:
Li2BS2: optimized geometry, PBE.

Properties
* space-group type: P4/mbm
* crystal system: tetragonal
* size of the total moment: 0.000 μB/atom

```
Li2BS2
1.0
6.073 0.000 0.000
0.000 6.073 0.000
0.000 0.000 3.661
Li B S
4 2 4
direct
0.141 0.359 0.000
0.359 0.859 0.000
0.641 0.141 0.000
0.859 0.641 0.000
0.000 0.000 0.500
0.500 0.500 0.500
0.189 0.689 0.500
0.311 0.189 0.500
0.689 0.811 0.500
0.811 0.311 0.500
```

---

ii:
Li2BS2: optimized geometry, PBE.

Properties
* space-group type: I4/mmm
* crystal system: tetragonal
* size of the total moment: 0.000 μB/atom

```
Li2BS2
1.0
5.067 0.000 0.000
0.000 5.067 0.000
0.000 0.000 6.587
Li B S
4 2 4
direct
0.000 0.500 0.250
0.000 0.500 0.750
0.500 0.000 0.250
0.500 0.000 0.750
0.000 0.000 0.000
0.500 0.500 0.500
0.000 0.000 0.263
0.000 0.000 0.737
0.500 0.500 0.237
0.500 0.500 0.763
```

---

Which of them is most stable, and which least? Most stable: ii; least stable: i.

---

i:
LiBS3: optimized geometry, PBE.

Properties
* space-group type: Pm-3m
* crystal system: cubic
* size of the total moment: 0.000 μB/atom

```
LiBS3
1.0
4.248 0.000 0.000
0.000 4.248 0.000
0.000 0.000 4.248
Li B S
1 1 3
direct
0.000 0.000 0.000
0.500 0.500 0.500
0.000 0.500 0.500
0.500 0.000 0.500
0.500 0.500 0.000
```

---

ii:
LiBS3: optimized geometry, PBE.

Properties
* space-group type: Pnma
* crystal system: orthorhombic
* size of the total moment: 0.000 μB/atom

```
LiBS3
1.0
5.579 0.000 0.000
0.000 9.091 0.000
0.000 0.000 6.451
Li B S
4 4 12
direct
0.000 0.000 0.000
0.000 0.500 0.000
0.500 0.000 0.500
0.500 0.500 0.500
0.009 0.250 0.395
0.491 0.750 0.895
0.509 0.250 0.105
0.991 0.750 0.605
0.086 0.587 0.425
0.086 0.913 0.425
0.138 0.750 0.875
0.362 0.250 0.375
0.414 0.087 0.925
0.414 0.413 0.925
0.586 0.587 0.075
0.586 0.913 0.075
0.638 0.750 0.625
0.862 0.250 0.125
0.914 0.087 0.575
0.914 0.413 0.575
```

---

Which of them is most stable, and which least? Most stable: ii; least stable: i.

---

i:
Li2Sc2B: optimized geometry, PBE.

Properties
* space-group type: I4/mmm
* crystal system: tetragonal
* size of the total moment: 0.000 μB/atom

```
Li2Sc2B
1.0
3.951 0.000 0.000
0.000 3.951 0.000
0.000 0.000 11.553
Li Sc B
4 4 2
direct
0.000 0.000 0.080
0.000 0.000 0.920
0.500 0.500 0.420
0.500 0.500 0.580
0.000 0.500 0.250
0.000 0.500 0.750
0.500 0.000 0.250
0.500 0.000 0.750
0.000 0.000 0.500
0.500 0.500 0.000
```

---

ii:
Li2Sc2B: optimized geometry, PBE.

Properties
* space-group type: P4/mbm
* crystal system: tetragonal
* size of the total moment: 0.174 μB/atom

```
Li2Sc2B
1.0
6.015 0.000 0.000
0.000 6.015 0.000
0.000 0.000 4.281
Li Sc B
4 4 2
direct
0.139 0.361 0.000
0.361 0.861 0.000
0.639 0.139 0.000
0.861 0.639 0.000
0.194 0.694 0.500
0.306 0.194 0.500
0.694 0.806 0.500
0.806 0.306 0.500
0.000 0.000 0.000
0.500 0.500 0.000
```

---

Which of them is most stable, and which least? Most stable: ii; least stable: i.

---

i:
Li3BSe: optimized geometry, PBE.

Properties
* space-group type: Pm-3m
* crystal system: cubic
* size of the total moment: 0.400 μB/atom

```
Li3BSe
1.0
4.317 0.000 0.000
0.000 4.317 0.000
0.000 0.000 4.317
Li B Se
3 1 1
direct
0.000 0.000 0.500
0.000 0.500 0.000
0.500 0.000 0.000
0.000 0.000 0.000
0.500 0.500 0.500
```

---

ii:
Li3BSe: optimized geometry, PBE.

Properties
* space-group type: Pm-3m
* crystal system: cubic
* size of the total moment: 0.396 μB/atom

```
Li3BSe
1.0
4.761 0.000 0.000
0.000 4.761 0.000
0.000 0.000 4.761
Li B Se
3 1 1
direct
0.000 0.000 0.500
0.000 0.500 0.000
0.500 0.000 0.000
0.500 0.500 0.500
0.000 0.000 0.000
```

---

Which of them is most stable, and which least? Most stable: i; least stable: ii.